This record from the Alexandria database describes an optimized crystal structure of Cs2GaSbAu6. The functional is GGA-PBE.

**Energy**: -31.13 eV/f.u.
**Calculated volume**: 28.51 A^3/atom
**Formation energy from raw total energies**: -261 meV per atom

abc: 7.1516 7.1516 7.6537
angles: 117.94 117.94 59.97
Sites, in units of the cell vectors:
Cs  0.0000  0.0000  0.0000
Cs  0.5167  0.5167  0.5476
Ga  0.7123  0.7123  0.1369
Sb  0.2128  0.2128  0.6365
Au  0.0626  0.4754  0.0134
Au  0.4754  0.0626  0.0134
Au  0.4753  0.4753  0.0124
Au  0.5567  0.9578  0.4696
Au  0.9571  0.9571  0.4696
Au  0.9578  0.5567  0.4696

=====

This record from the Alexandria database describes an optimized crystal structure of CsGa2Sb2Au6. The functional is GGA-PBE.

**Energy**: -36.37 eV/f.u.
**Calculated volume**: 32.42 A^3/atom
**Formation energy from raw total energies**: -141 meV per atom

abc: 7.2232 7.2402 8.4384
angles: 69.23 69.67 62.40
Sites, in units of the cell vectors:
Cs  0.0000  0.0000  0.0000
Ga  0.2986  0.2959  0.1148
Ga  0.7014  0.7041  0.8852
Sb  0.3740  0.3814  0.5300
Sb  0.6260  0.6186  0.4700
Au  0.1053  0.5063  0.8244
Au  0.4847  0.4830  0.1744
Au  0.4985  0.8922  0.1756
Au  0.5015  0.1078  0.8244
Au  0.5153  0.5170  0.8256
Au  0.8947  0.4937  0.1756

=====

This record from the Alexandria database describes an optimized crystal structure of CsGaSb2Au. The functional is GGA-PBE.

**Energy**: -16.70 eV/f.u.
**Calculated volume**: 35.16 A^3/atom
**Formation energy from raw total energies**: -259 meV per atom

abc: 7.2421 7.2421 7.5844
angles: 90.00 90.00 117.89
Sites, in units of the cell vectors:
Cs  0.2500  0.7500  0.7662
Cs  0.7500  0.2500  0.2338
Ga  0.2500  0.2500  0.5000
Ga  0.7500  0.7500  0.5000
Sb  0.1065  0.8935  0.3042
Sb  0.3935  0.6065  0.3042
Sb  0.6065  0.3935  0.6958
Sb  0.8935  0.1065  0.6958
Au  0.0000  0.0000  0.0000
Au  0.5000  0.5000  0.0000

=====

This record from the Alexandria database describes an optimized crystal structure of CsGa2SnAu. The functional is GGA-PBE.

**Energy**: -12.84 eV/f.u.
**Energy above the lowest structure with this stoichiometry**: 120 meV per atom
**Calculated volume**: 33.18 A^3/atom
**E_form**: 0.2704 eV/atom

abc: 5.1112 5.1112 6.3510
angles: 90.00 90.00 90.00
Sites, in units of the cell vectors:
Cs  0.0000  0.0000  0.0000
Ga  0.0000  0.5000  0.5000
Ga  0.5000  0.0000  0.5000
Sn  0.5000  0.5000  0.0000
Au  0.0000  0.0000  0.5000

=====

This record from the Alexandria database describes an optimized crystal structure of CsGaSnAu3. The functional is GGA-PBE.

**Energy**: -19.59 eV/f.u.
**Calculated volume**: 29.09 A^3/atom
**E_form**: -0.3126 eV/atom

abc: 6.9422 7.3299 7.3196
angles: 90.00 110.39 90.00
Sites, in units of the cell vectors:
Cs  0.2356  0.2500  0.4965
Cs  0.7644  0.7500  0.5035
Ga  0.1278  0.7500  0.1431
Ga  0.8722  0.2500  0.8569
Sn  0.4167  0.7500  0.9078
Sn  0.5833  0.2500  0.0922
Au  0.2134  0.0525  0.0014
Au  0.2134  0.4475  0.0014
Au  0.2669  0.7500  0.5117
Au  0.7331  0.2500  0.4883
Au  0.7866  0.5525  0.9986
Au  0.7866  0.9475  0.9986

=====

This record from the Alexandria database describes an optimized crystal structure of CsGa2SnAu. The functional is GGA-PBE.

**Energy**: -13.44 eV/f.u.
**Energy above the lowest structure with this stoichiometry**: 0 meV per atom
**Calculated volume**: 31.67 A^3/atom
**E_form**: 0.1501 eV/atom

abc: 5.2038 5.2038 5.8482
angles: 90.00 90.00 90.00
Sites, in units of the cell vectors:
Cs  0.0000  0.0000  0.0000
Ga  0.0000  0.5000  0.5000
Ga  0.5000  0.0000  0.5000
Sn  0.5000  0.5000  0.0000
Au  0.5000  0.5000  0.5000

=====

Result set for total magnetization: 0.0 0.0 0.0 0.0 0.0 0.0 μB/f.u., one per record in the order listed.